1.
Density functional theory data (PBEsol) for a relaxed structure of RbWN2.

Values from the calculation:
The excess energy over the best structure of this formula in the dataset is 0.000 eV/atom. The calculation puts the formation energy (no corrections) at -0.492 eV/atom. The size of the total moment comes out at 0.00 μB per formula unit.

Cell lengths 6.087, 6.087, 6.087 Å; angles 121.47, 121.47, 87.47 degrees
Fractional coordinates of all 8 atoms:
Rb 0.000 0.000 0.000
Rb 0.750 0.250 0.500
W 0.250 0.750 0.500
W 0.500 0.500 0.000
N 0.311 0.125 0.686
N 0.375 0.689 0.814
N 0.439 0.625 0.314
N 0.875 0.561 0.186

=====

2.
Density functional theory data (PBEsol) for a relaxed structure of Rb2LiHI.

Values from the calculation:
The calculation puts the final energy at -0.07155 Ha/atom. The size of the total moment comes out at 0.00 μB per formula unit.

Cell lengths 7.033, 7.033, 5.375 Å; angles 90.00, 90.00, 90.00 degrees
Fractional coordinates of all 5 atoms:
Rb 0.000 0.500 0.000
Rb 0.500 0.000 0.000
Li 0.000 0.000 0.500
H 0.500 0.500 0.500
I 0.000 0.000 0.000

=====

3.
Density functional theory data (PBEsol) for a relaxed structure of AlHgW2.

Values from the calculation:
The excess energy over the best structure of this formula in the dataset is 0.106 eV/atom. The size of the total moment comes out at 0.00 μB per formula unit. The calculation puts the calculated formation energy at 492 meV per atom.

Cell lengths 3.854, 3.854, 4.369 Å; angles 90.00, 90.00, 90.00 degrees
Fractional coordinates of all 4 atoms:
Al 0.000 0.000 0.000
Hg 0.500 0.500 0.000
W 0.000 0.500 0.500
W 0.500 0.000 0.500

=====

4.
Density functional theory data (PBEsol) for a relaxed structure of LaCrBr2.

Values from the calculation:
The excess energy over the best structure of this formula in the dataset is 0.030 eV/atom. The calculation puts the formation energy (no corrections) at -0.498 eV/atom. The size of the total moment comes out at 5.00 μB per formula unit.

Cell lengths 8.682, 8.682, 8.682 Å; angles 27.45, 27.45, 27.45 degrees
Fractional coordinates of all 4 atoms:
La 0.000 0.000 0.000
Cr 0.747 0.747 0.747
Br 0.257 0.257 0.257
Br 0.462 0.462 0.462

=====

5.
Density functional theory data (PBEsol) for a relaxed structure of K2Si3SnO9.

Values from the calculation:
The excess energy over the best structure of this formula in the dataset is 0.010 eV/atom. The calculation puts the formation energy (no corrections) at -2.479 eV/atom. The size of the total moment comes out at 0.00 μB per formula unit.

Cell lengths 6.875, 6.875, 10.094 Å; angles 90.00, 90.00, 120.00 degrees
Fractional coordinates of all 30 atoms:
K 0.333 0.667 0.055
K 0.333 0.667 0.445
K 0.667 0.333 0.555
K 0.667 0.333 0.945
Si 0.125 0.744 0.750
Si 0.256 0.381 0.750
Si 0.381 0.125 0.250
Si 0.619 0.875 0.750
Si 0.744 0.619 0.250
Si 0.875 0.256 0.250
Sn 0.000 0.000 0.000
Sn 0.000 0.000 0.500
O 0.013 0.759 0.613
O 0.013 0.759 0.887
O 0.084 0.484 0.750
O 0.241 0.253 0.613
O 0.241 0.253 0.887
O 0.253 0.013 0.113
O 0.253 0.013 0.387
O 0.399 0.916 0.750
O 0.484 0.399 0.250
O 0.516 0.601 0.750
O 0.601 0.084 0.250
O 0.747 0.987 0.613
O 0.747 0.987 0.887
O 0.759 0.747 0.113
O 0.759 0.747 0.387
O 0.916 0.516 0.250
O 0.987 0.241 0.113
O 0.987 0.241 0.387

=====

6.
Density functional theory data (PBEsol) for a relaxed structure of IrNO2.

Values from the calculation:
The calculation puts the formation energy (no corrections) at 1.233 eV/atom. The size of the total moment comes out at 0.00 μB per formula unit.

Cell lengths 6.902, 6.902, 6.902 Å; angles 151.06, 151.06, 41.38 degrees
Fractional coordinates of all 8 atoms:
Ir 0.000 0.000 0.000
Ir 0.750 0.250 0.500
N 0.250 0.750 0.500
N 0.500 0.500 0.000
O 0.096 0.625 0.971
O 0.375 0.346 0.471
O 0.654 0.125 0.029
O 0.875 0.904 0.529

=====

7.
Density functional theory data (PBEsol) for a relaxed structure of Mg2TlCu.

Values from the calculation:
The size of the total moment comes out at 0.00 μB per formula unit. The calculation puts the calculated formation energy at 14 meV per atom.

Cell lengths 4.372, 5.634, 5.634 Å; angles 34.01, 90.00, 90.00 degrees
Fractional coordinates of all 4 atoms:
Mg 0.000 0.000 0.000
Mg 0.500 0.332 0.332
Tl 0.500 0.605 0.605
Cu 0.000 0.751 0.751

=====

8.
Density functional theory data (PBEsol) for a relaxed structure of LiReNF2.

Values from the calculation:
The calculation puts the formation energy (no corrections) at -0.942 eV/atom. The size of the total moment comes out at 0.00 μB per formula unit.

Cell lengths 4.112, 4.112, 3.809 Å; angles 90.00, 90.00, 90.00 degrees
Fractional coordinates of all 5 atoms:
Li 0.000 0.000 0.000
Re 0.500 0.500 0.500
N 0.500 0.500 0.000
F 0.000 0.500 0.500
F 0.500 0.000 0.500

=====

9.
Density functional theory data (PBEsol) for a relaxed structure of Pb2IOF.

Values from the calculation:
The calculation puts the formation energy (no corrections) at -1.403 eV/atom. The size of the total moment comes out at 0.00 μB per formula unit.

Cell lengths 7.269, 7.269, 5.892 Å; angles 90.00, 90.00, 132.28 degrees
Fractional coordinates of all 10 atoms:
Pb 0.095 0.905 0.779
Pb 0.405 0.595 0.779
Pb 0.595 0.405 0.221
Pb 0.905 0.095 0.221
I 0.250 0.750 0.243
I 0.750 0.250 0.757
O 0.250 0.250 0.000
O 0.750 0.750 0.000
F 0.250 0.250 0.500
F 0.750 0.750 0.500

=====

10.
Density functional theory data (PBEsol) for a relaxed structure of Co2HgW.

Values from the calculation:
The size of the total moment comes out at 0.01 μB per formula unit. The calculation puts the calculated formation energy at 219 meV per atom.

Cell lengths 2.856, 3.250, 5.957 Å; angles 90.00, 90.00, 90.00 degrees
Fractional coordinates of all 4 atoms:
Co 0.000 0.000 0.211
Co 0.000 0.000 0.789
Hg 0.500 0.500 0.500
W 0.500 0.500 0.000

=====

11.
Density functional theory data (PBEsol) for a relaxed structure of HfTc3Bi.

Values from the calculation:
The size of the total moment comes out at 1.02 μB per formula unit. The calculation puts the calculated formation energy at 2095 meV per atom.

Cell lengths 4.817, 4.817, 4.817 Å; angles 90.00, 90.00, 90.00 degrees
Fractional coordinates of all 5 atoms:
Hf 0.000 0.000 0.000
Tc 0.000 0.500 0.500
Tc 0.500 0.000 0.500
Tc 0.500 0.500 0.000
Bi 0.500 0.500 0.500

=====

12.
Density functional theory data (PBEsol) for a relaxed structure of LuGaRh2.

Values from the calculation:
The size of the total moment comes out at 0.00 μB per formula unit. The calculation puts the calculated formation energy at -920 meV per atom.

Cell lengths 4.428, 4.428, 4.428 Å; angles 60.00, 60.00, 60.00 degrees
Fractional coordinates of all 4 atoms:
Lu 0.000 0.000 0.000
Ga 0.500 0.500 0.500
Rh 0.250 0.250 0.250
Rh 0.750 0.750 0.750

=====

13.
Density functional theory data (PBEsol) for a relaxed structure of H4PbI3N.

Values from the calculation:
The excess energy over the best structure of this formula in the dataset is 0.000 eV/atom. The size of the total moment comes out at 0.00 μB per formula unit.

Cell lengths 10.517, 4.673, 17.147 Å; angles 90.00, 90.00, 90.00 degrees
Fractional coordinates of all 36 atoms:
H 0.000 0.250 0.128
H 0.000 0.750 0.872
H 0.036 0.250 0.224
H 0.095 0.571 0.806
H 0.095 0.929 0.806
H 0.405 0.071 0.306
H 0.405 0.429 0.306
H 0.464 0.750 0.724
H 0.500 0.250 0.372
H 0.500 0.750 0.628
H 0.536 0.250 0.276
H 0.595 0.571 0.694
H 0.595 0.929 0.694
H 0.905 0.071 0.194
H 0.905 0.429 0.194
H 0.964 0.750 0.776
Pb 0.160 0.250 0.566
Pb 0.340 0.750 0.066
Pb 0.660 0.250 0.934
Pb 0.840 0.750 0.434
I 0.040 0.250 0.391
I 0.153 0.250 0.009
I 0.240 0.750 0.238
I 0.260 0.250 0.738
I 0.347 0.750 0.509
I 0.460 0.750 0.891
I 0.540 0.250 0.109
I 0.653 0.250 0.491
I 0.740 0.750 0.262
I 0.760 0.250 0.762
I 0.847 0.750 0.991
I 0.960 0.750 0.609
N 0.038 0.750 0.816
N 0.462 0.250 0.316
N 0.538 0.750 0.684
N 0.962 0.250 0.184